Compound: Hg2TeP
Source: Alexandria via LeMat-Bulk
Functional: GGA-PBE
Structure: optimized geometry

It has space group Cmm2 (No. 35), with a = 3.547 Å, b = 7.150 Å, c = 10.715 Å, α = 90.00°, β = 90.00° and γ = 90.00°. The distinct sites, in fractional coordinates, are Hg at (0.000, 0.000, 0.000), Hg at (0.000, 0.500, 0.279), Te at (0.000, 0.500, 0.691) and P at (0.000, 0.000, 0.531).

As for the total energy: -2.004 eV per atom. Its density of states at the Fermi level is 1.81 states/eV/f.u. The uncorrected formation energy is 0.2847 eV per atom. As for the spin magnetization: 0.2 μB per formula unit. As for the distance to the lowest polymorph of the same formula: 3.45 kcal/mol of atoms.


Compound: HgTeP2
Source: Alexandria via LeMat-Bulk
Functional: GGA-PBE
Structure: optimized geometry

It has space group Cm (No. 8), with a = 8.336 Å, b = 3.213 Å, c = 7.730 Å, α = 90.00°, β = 93.58° and γ = 90.00°. The distinct sites, in fractional coordinates, are Hg at (0.000, 0.000, 0.000), Te at (0.243, 0.500, 0.728), P at (0.063, 0.500, 0.422) and P at (0.185, 0.000, 0.288).

As for the total energy: -3.440 eV per atom. Its density of states at the Fermi level is 1.15 states/eV/f.u. The uncorrected formation energy is 0.1255 eV per atom. As for the spin magnetization: 0.0 μB per formula unit. As for the distance to the lowest polymorph of the same formula: 0.42 kcal/mol of atoms.


Compound: HgTeP2
Source: Alexandria via LeMat-Bulk
Functional: GGA-PBE
Structure: optimized geometry

It has space group Fm-3m (No. 225), with a = 6.902 Å, b = 6.902 Å, c = 6.902 Å, α = 90.00°, β = 90.00° and γ = 90.00°. The distinct sites, in fractional coordinates, are Hg at (0.000, 0.000, 0.000), Te at (0.000, 0.000, 0.500) and P at (0.250, 0.250, 0.250).

As for the total energy: -2.856 eV per atom. Its density of states at the Fermi level is 2.24 states/eV/f.u. The uncorrected formation energy is 0.7100 eV per atom. As for the spin magnetization: 0.0 μB per formula unit. As for the distance to the lowest polymorph of the same formula: 13.90 kcal/mol of atoms.


Compound: HgTeP2
Source: Alexandria via LeMat-Bulk
Functional: GGA-PBE
Structure: optimized geometry

It has space group Cmmm (No. 65), with a = 6.928 Å, b = 6.937 Å, c = 3.430 Å, α = 90.00°, β = 90.00° and γ = 90.00°. The distinct sites, in fractional coordinates, are Hg at (0.000, 0.000, 0.000), Te at (0.000, 0.500, 0.000) and P at (0.250, 0.250, 0.500).

As for the total energy: -2.856 eV per atom. Its density of states at the Fermi level is 1.77 states/eV/f.u. The uncorrected formation energy is 0.7099 eV per atom. As for the spin magnetization: 0.0 μB per formula unit. As for the distance to the lowest polymorph of the same formula: 13.90 kcal/mol of atoms.